[1]
DFT (PBE-GGA) results for a relaxed structure of Ce2Ge6Ru.

space-group type: Amm2 (38)
ρ: 7.2 g/cm3
DOS at the Fermi energy: 10.25 states/eV per cell
distance to the lowest polymorph of the same formula: 0.099 eV per atom
DFT formation energy: -375.4 kJ/mol of formula units
energy: -5.86 eV/atom

abc: 4.142 11.356 11.356
angles: 20.54 90.00 90.00
Fractional coordinates of all 9 atoms:
Ce1 0.000 0.000 0.000
Ce2 0.000 0.331 0.331
Ge1 0.000 0.615 0.615
Ge2 0.000 0.728 0.728
Ge3 0.500 0.117 0.117
Ge4 0.500 0.230 0.230
Ge5 0.500 0.442 0.442
Ge6 0.500 0.873 0.873
Ru1 0.500 0.551 0.551

=====

[2]
DFT (PBE-GGA) results for a relaxed structure of Ce3Ge2Ru2.

space-group type: Pbcm (57)
ρ: 8.6 g/cm3
DOS at the Fermi energy: 42.74 states/eV per cell
DFT formation energy: -454.9 kJ/mol of formula units
energy: -7.19 eV/atom

abc: 5.578 8.022 13.281
angles: 90.00 90.00 90.00
Fractional coordinates of all 28 atoms:
Ce1 0.127 0.233 0.250
Ce2 0.127 0.267 0.750
Ce3 0.338 0.598 0.095
Ce4 0.338 0.598 0.405
Ce5 0.338 0.902 0.595
Ce6 0.338 0.902 0.905
Ce7 0.662 0.098 0.095
Ce8 0.662 0.098 0.405
Ce9 0.662 0.402 0.595
Ce10 0.662 0.402 0.905
Ce11 0.873 0.733 0.250
Ce12 0.873 0.767 0.750
Ge1 0.160 0.250 0.000
Ge2 0.160 0.250 0.500
Ge3 0.378 0.613 0.750
Ge4 0.378 0.887 0.250
Ge5 0.622 0.113 0.750
Ge6 0.622 0.387 0.250
Ge7 0.840 0.750 0.000
Ge8 0.840 0.750 0.500
Ru1 0.134 0.541 0.591
Ru2 0.134 0.541 0.909
Ru3 0.134 0.959 0.091
Ru4 0.134 0.959 0.409
Ru5 0.866 0.041 0.591
Ru6 0.866 0.041 0.909
Ru7 0.866 0.459 0.091
Ru8 0.866 0.459 0.409

=====

[3]
DFT (PBE-GGA) results for a relaxed structure of Ce6GeRu2.

space-group type: C2/m (12)
ρ: 8.7 g/cm3
DOS at the Fermi energy: 18.61 states/eV per cell
distance to the lowest polymorph of the same formula: 0.000 eV per atom
DFT formation energy: -326.3 kJ/mol of formula units
energy: -6.91 eV/atom

abc: 5.644 5.644 8.682
angles: 94.83 94.83 50.40
Fractional coordinates of all 9 atoms:
Ce1 0.056 0.056 0.353
Ce2 0.304 0.304 0.904
Ce3 0.394 0.394 0.328
Ce4 0.606 0.606 0.672
Ce5 0.696 0.696 0.096
Ce6 0.944 0.944 0.647
Ge1 0.000 0.000 0.000
Ru1 0.269 0.269 0.622
Ru2 0.731 0.731 0.378

=====

[4]
DFT (PBE-GGA) results for a relaxed structure of Ce2Ge6Ru.

space-group type: P-3m1 (164)
ρ: 7.8 g/cm3
DOS at the Fermi energy: 8.31 states/eV per cell
distance to the lowest polymorph of the same formula: 0.000 eV per atom
DFT formation energy: -461.3 kJ/mol of formula units
energy: -5.96 eV/atom

abc: 6.100 6.100 5.385
angles: 90.00 90.00 120.00
Fractional coordinates of all 9 atoms:
Ce1 0.333 0.667 0.211
Ce2 0.667 0.333 0.789
Ge1 0.181 0.361 0.698
Ge2 0.181 0.819 0.698
Ge3 0.361 0.181 0.302
Ge4 0.639 0.819 0.698
Ge5 0.819 0.181 0.302
Ge6 0.819 0.639 0.302
Ru1 0.000 0.000 0.000

=====

[5]
DFT (PBE-GGA) results for a relaxed structure of CeGe2Ru4.

space-group type: P4_2/mnm (136)
ρ: 9.8 g/cm3
DOS at the Fermi energy: 15.08 states/eV per cell
DFT formation energy: -283.0 kJ/mol of formula units
energy: -7.89 eV/atom

abc: 7.675 7.675 3.953
angles: 90.00 90.00 90.00
Fractional coordinates of all 14 atoms:
Ce1 0.000 0.000 0.000
Ce2 0.500 0.500 0.500
Ge1 0.219 0.219 0.500
Ge2 0.281 0.719 0.000
Ge3 0.719 0.281 0.000
Ge4 0.781 0.781 0.500
Ru1 0.079 0.653 0.500
Ru2 0.153 0.421 0.000
Ru3 0.347 0.921 0.500
Ru4 0.421 0.153 0.000
Ru5 0.579 0.847 0.000
Ru6 0.653 0.079 0.500
Ru7 0.847 0.579 0.000
Ru8 0.921 0.347 0.500

=====

[6]
DFT (PBE-GGA) results for a relaxed structure of Ce4Ge8Ru.

space-group type: Pmm2 (25)
ρ: 7.3 g/cm3
DOS at the Fermi energy: 14.41 states/eV per cell
DFT formation energy: -737.9 kJ/mol of formula units
energy: -5.97 eV/atom

abc: 4.085 4.205 16.448
angles: 90.00 90.00 90.00
Fractional coordinates of all 13 atoms:
Ce1 0.000 0.000 0.000
Ce2 0.000 0.500 0.489
Ce3 0.500 0.000 0.781
Ce4 0.500 0.500 0.281
Ge1 0.000 0.000 0.332
Ge2 0.000 0.000 0.621
Ge3 0.000 0.500 0.140
Ge4 0.000 0.500 0.852
Ge5 0.500 0.000 0.142
Ge6 0.500 0.000 0.434
Ge7 0.500 0.500 0.619
Ge8 0.500 0.500 0.948
Ru1 0.000 0.500 0.703

=====

[7]
DFT (PBE-GGA) results for a relaxed structure of Ce3Ge7Ru2.

space-group type: P2/m (10)
ρ: 7.7 g/cm3
DOS at the Fermi energy: 16.63 states/eV per cell
DFT formation energy: -718.4 kJ/mol of formula units
energy: -6.34 eV/atom

abc: 4.318 4.315 13.184
angles: 90.00 99.42 90.00
Fractional coordinates of all 12 atoms:
Ce1 0.000 0.000 0.000
Ce2 0.318 0.500 0.635
Ce3 0.682 0.500 0.365
Ge1 0.083 0.500 0.167
Ge2 0.221 0.000 0.443
Ge3 0.417 0.000 0.832
Ge4 0.500 0.500 0.000
Ge5 0.583 0.000 0.168
Ge6 0.779 0.000 0.557
Ge7 0.917 0.500 0.833
Ru1 0.128 0.000 0.256
Ru2 0.872 0.000 0.744

=====

[8]
DFT (PBE-GGA) results for a relaxed structure of Ce2Ge5Ru3.

space-group type: Ibam (72)
ρ: 8.6 g/cm3
DOS at the Fermi energy: 17.29 states/eV per cell
DFT formation energy: -618.7 kJ/mol of formula units
energy: -6.92 eV/atom

abc: 8.509 8.509 8.509
angles: 108.00 85.88 139.71
Fractional coordinates of all 20 atoms:
Ce1 0.138 0.229 0.368
Ce2 0.362 0.729 0.091
Ce3 0.638 0.271 0.909
Ce4 0.862 0.771 0.632
Ge1 0.040 0.750 0.290
Ge2 0.090 0.670 0.761
Ge3 0.250 0.250 0.000
Ge4 0.410 0.170 0.580
Ge5 0.460 0.750 0.710
Ge6 0.540 0.250 0.290
Ge7 0.590 0.830 0.420
Ge8 0.750 0.750 0.000
Ge9 0.910 0.330 0.239
Ge10 0.960 0.250 0.710
Ru1 0.146 0.903 0.049
Ru2 0.250 0.750 0.500
Ru3 0.354 0.403 0.757
Ru4 0.646 0.597 0.243
Ru5 0.750 0.250 0.500
Ru6 0.854 0.097 0.951